{
  "formula": "NaSmEr",
  "functional": "PBE",
  "state": "relaxed",
  "lattice_angstrom": [[-0.751, -0.269, 3.417], [0.093, -3.498, -0.255], [8.280, 1.967, 0.174]],
  "species": ["Na", "Sm", "Er"],
  "fractional_positions": [[0.998, 0.998, 0.997], [0.676, 0.676, 0.353], [0.325, 0.325, 0.650]]
}

=====

{
  "formula": "NaSmEr2",
  "functional": "PBE",
  "state": "relaxed",
  "lattice_angstrom": [[-0.117, -3.416, 0.989], [1.105, 0.906, 3.259], [-9.893, 1.213, 3.018]],
  "species": ["Na", "Sm", "Er", "Er"],
  "fractional_positions": [[0.500, 0.500, 0.500], [0.500, 0.500, 0.000], [0.000, 0.000, 0.769], [0.000, 0.000, 0.231]]
}

=====

In meV/atom, the energy above the lowest structure with this stoichiometry values for the records above are, in order, 20 0.
In eV per atom, the energy relative to the elements values for the records above are, in order, 0.155 0.153.
In eV/cell, the DFT total energy values for the records above are, in order, -10.14 -14.55.